Record 1
{"formula": "Pr2GaAu5", "functional": "PBE-GGA", "state": "optimized geometry", "lattice_angstrom": [[-0.470, 5.249, -3.825], [-6.458, 0.063, 0.830], [3.934, -0.066, 4.987]], "species": ["Pr", "Pr", "Ga", "Au", "Au", "Au", "Au", "Au"], "fractional_positions": [[0.241, 0.741, 0.481], [0.741, 0.241, 0.481], [0.077, 0.077, 0.154], [0.710, 0.270, 0.980], [0.268, 0.268, 0.980], [0.711, 0.711, 0.979], [0.270, 0.710, 0.980], [0.760, 0.760, 0.519]], "space_group": "No. 8"}

---

Record 2
{"formula": "PrGa3Au3", "functional": "PBE-GGA", "state": "optimized geometry", "lattice_angstrom": [[-7.594, 2.929, 1.744], [-3.509, -1.655, 7.365], [-1.569, 4.767, 5.028]], "species": ["Pr", "Pr", "Ga", "Ga", "Ga", "Ga", "Ga", "Ga", "Au", "Au", "Au", "Au", "Au", "Au"], "fractional_positions": [[0.334, 0.334, 0.997], [0.666, 0.666, 0.003], [0.365, 0.780, 0.786], [0.780, 0.069, 0.786], [0.069, 0.365, 0.786], [0.931, 0.635, 0.214], [0.220, 0.931, 0.214], [0.635, 0.220, 0.214], [0.236, 0.565, 0.305], [0.894, 0.236, 0.305], [0.565, 0.894, 0.305], [0.435, 0.106, 0.695], [0.106, 0.764, 0.695], [0.764, 0.435, 0.695]], "space_group": "No. 148", "de_polymorph_ev_per_atom": 0.008}

---

Number 1: formation energy -0.5260 eV per atom. Number 2: formation energy -0.3805 eV per atom.